A geometry-optimized ThPaSi2Ir5 structure, computed with PBE-GGA.

Unit cell a=4.046 b=4.046 c=11.123 alpha=90.00 beta=90.00 gamma=90.00
Positions (direct):
Ir  0.500  0.000  0.821
Si  0.500  0.500  0.288
Ir  0.000  0.500  0.179
Th  0.000  0.000  0.500
Pa  0.000  0.000  0.000
Si  0.500  0.500  0.712
Ir  0.500  0.500  0.500
Ir  0.500  0.000  0.179
Ir  0.000  0.500  0.821

As for the formation energy (no corrections): -0.72 eV/atom. The volume comes out at 20.24 Å³ per atom. The calculation puts the size of the total moment at 0.00 μB per cell.

A geometry-optimized Cs2AuI4 structure, computed with PBE-GGA.

Unit cell a=8.720 b=7.378 c=11.266 alpha=90.00 beta=107.54 gamma=90.00
Positions (direct):
I  0.084  0.750  0.359
I  0.511  0.482  0.272
Cs  0.261  0.250  0.948
Cs  0.799  0.750  0.579
I  0.489  0.982  0.728
Cs  0.201  0.250  0.421
I  0.127  0.750  0.942
I  0.873  0.250  0.058
I  0.489  0.518  0.728
Au  0.275  0.750  0.196
Au  0.725  0.250  0.804
Cs  0.739  0.750  0.052
I  0.916  0.250  0.641
I  0.511  0.018  0.272

As for the formation energy (no corrections): -0.88 eV/atom. The volume comes out at 49.37 Å³ per atom. The calculation puts the size of the total moment at 0.00 μB per cell.